(1)
! PBE NaPm3Sm2Te6, optimized geometry; values from VASP
&SYSTEM
  ibrav = 0, nat = 12, ntyp = 4
/
ATOMIC_SPECIES
Na 22.99 Na.upf
Pm 145.00 Pm.upf
Sm 150.36 Sm.upf
Te 127.60 Te.upf
CELL_PARAMETERS angstrom
9.746 -2.227 0.000
9.746 2.227 0.000
-2.068 0.000 8.725
ATOMIC_POSITIONS crystal
Na 0.000 0.000 0.000
Pm 0.000 0.000 0.500
Pm 0.335 0.335 0.173
Pm 0.665 0.665 0.827
Sm 0.331 0.331 0.659
Sm 0.669 0.669 0.341
Te 0.166 0.166 0.583
Te 0.167 0.167 0.084
Te 0.498 0.498 0.751
Te 0.502 0.502 0.249
Te 0.833 0.833 0.916
Te 0.834 0.834 0.417
! * uncorrected formation energy: -1.38 eV/atom
! * crystal system: monoclinic
! * symmetry: No. 12
! * magnetic moment: 0.000 μB/cell

=====

(2)
! PBE PrHoCu2S4, optimized geometry; values from VASP
&SYSTEM
  ibrav = 0, nat = 8, ntyp = 4
/
ATOMIC_SPECIES
Pr 140.91 Pr.upf
Ho 164.93 Ho.upf
Cu 63.55 Cu.upf
S 32.06 S.upf
CELL_PARAMETERS angstrom
-3.254 3.367 3.824
3.254 -3.367 3.824
3.254 3.367 -3.824
ATOMIC_POSITIONS crystal
Pr 0.000 0.000 0.000
Ho 0.500 0.500 0.000
Cu 0.331 0.831 0.500
Cu 0.669 0.169 0.500
S 0.085 0.057 0.538
S 0.481 0.943 0.027
S 0.519 0.547 0.462
S 0.915 0.453 0.973
! * uncorrected formation energy: -1.21 eV/atom
! * crystal system: orthorhombic
! * symmetry: No. 23
! * magnetic moment: 0.000 μB/cell

=====

(3)
! PBE LiSnTe2, optimized geometry; values from VASP
&SYSTEM
  ibrav = 0, nat = 16, ntyp = 3
/
ATOMIC_SPECIES
Li 6.94 Li.upf
Sn 118.71 Sn.upf
Te 127.60 Te.upf
CELL_PARAMETERS angstrom
4.268 -8.605 0.000
4.268 8.605 0.000
-4.267 0.000 6.082
ATOMIC_POSITIONS crystal
Li 0.075 0.925 0.750
Li 0.202 0.798 0.250
Li 0.798 0.202 0.750
Li 0.925 0.075 0.250
Sn 0.317 0.683 0.750
Sn 0.443 0.557 0.250
Sn 0.557 0.443 0.750
Sn 0.683 0.317 0.250
Te 0.060 0.433 0.245
Te 0.171 0.296 0.744
Te 0.296 0.171 0.244
Te 0.433 0.060 0.745
Te 0.567 0.940 0.255
Te 0.704 0.829 0.756
Te 0.829 0.704 0.256
Te 0.940 0.567 0.755
! * uncorrected formation energy: -0.49 eV/atom
! * crystal system: monoclinic
! * symmetry: No. 15
! * magnetic moment: 0.000 μB/cell

=====

(4)
! PBE Pm6PrNd, optimized geometry; values from VASP
&SYSTEM
  ibrav = 0, nat = 8, ntyp = 3
/
ATOMIC_SPECIES
Pm 145.00 Pm.upf
Pr 140.91 Pr.upf
Nd 144.24 Nd.upf
CELL_PARAMETERS angstrom
5.179 -5.184 0.000
5.179 5.184 0.000
0.000 0.000 5.173
ATOMIC_POSITIONS crystal
Pm 0.000 0.500 0.500
Pm 0.250 0.250 0.000
Pm 0.250 0.750 0.000
Pm 0.500 0.000 0.500
Pm 0.750 0.250 0.000
Pm 0.750 0.750 0.000
Pr 0.000 0.000 0.500
Nd 0.500 0.500 0.500
! * crystal system: orthorhombic
! * symmetry: No. 65
! * magnetic moment: 0.000 μB/cell
! * formation energy from the elements: 0.01 eV per atom

=====

(5)
! PBE SrCo, optimized geometry; values from VASP
&SYSTEM
  ibrav = 0, nat = 6, ntyp = 2
/
ATOMIC_SPECIES
Sr 87.62 Sr.upf
Co 58.93 Co.upf
CELL_PARAMETERS angstrom
5.930 -1.929 0.000
5.930 1.929 0.000
-1.407 0.000 7.362
ATOMIC_POSITIONS crystal
Sr 0.000 0.000 0.000
Sr 0.074 0.074 0.577
Sr 0.778 0.778 0.301
Co 0.273 0.273 0.938
Co 0.348 0.348 0.672
Co 0.769 0.769 0.767
! * crystal system: monoclinic
! * symmetry: No. 8
! * magnetic moment: 4.061 μB/cell
! * formation energy from the elements: 0.33 eV per atom

=====

(6)
! PBE CdGa2Bi, optimized geometry; values from VASP
&SYSTEM
  ibrav = 0, nat = 4, ntyp = 3
/
ATOMIC_SPECIES
Cd 112.41 Cd.upf
Ga 69.72 Ga.upf
Bi 208.98 Bi.upf
CELL_PARAMETERS angstrom
3.416 0.000 0.000
0.000 3.416 0.000
0.000 0.000 8.237
ATOMIC_POSITIONS crystal
Cd 0.000 0.000 0.000
Ga 0.500 0.500 0.231
Ga 0.500 0.500 0.769
Bi 0.000 0.000 0.500
! * E above lowest polymorph: 0 meV/atom
! * crystal system: tetragonal
! * symmetry: No. 123
! * magnetic moment: 0.000 μB/cell
! * formation energy from the elements: 0.07 eV per atom

=====

(7)
! PBE UCr3, optimized geometry; values from VASP
&SYSTEM
  ibrav = 0, nat = 4, ntyp = 2
/
ATOMIC_SPECIES
U 238.03 U.upf
Cr 52.00 Cr.upf
CELL_PARAMETERS angstrom
0.000 3.039 3.039
3.039 0.000 3.039
3.039 3.039 0.000
ATOMIC_POSITIONS crystal
U 0.000 0.000 0.000
Cr 0.250 0.250 0.250
Cr 0.500 0.500 0.500
Cr 0.750 0.750 0.750
! * E above lowest polymorph: 0 meV/atom
! * crystal system: cubic
! * symmetry: No. 225
! * magnetic moment: 0.963 μB/cell
! * formation energy from the elements: 0.35 eV per atom

=====

(8)
! PBE Ti5Ge2O, optimized geometry; values from VASP
&SYSTEM
  ibrav = 0, nat = 16, ntyp = 3
/
ATOMIC_SPECIES
Ti 47.87 Ti.upf
Ge 72.64 Ge.upf
O 16.00 O.upf
CELL_PARAMETERS angstrom
2.012 -6.841 0.000
2.012 6.841 0.000
0.000 0.000 10.302
ATOMIC_POSITIONS crystal
Ti 0.102 0.898 0.611
Ti 0.102 0.898 0.889
Ti 0.272 0.728 0.250
Ti 0.301 0.699 0.566
Ti 0.301 0.699 0.934
Ti 0.699 0.301 0.066
Ti 0.699 0.301 0.434
Ti 0.728 0.272 0.750
Ti 0.898 0.102 0.111
Ti 0.898 0.102 0.389
Ge 0.088 0.912 0.134
Ge 0.088 0.912 0.366
Ge 0.912 0.088 0.634
Ge 0.912 0.088 0.866
O 0.215 0.785 0.750
O 0.785 0.215 0.250
! * uncorrected formation energy: -0.54 eV/atom
! * crystal system: orthorhombic
! * symmetry: No. 63
! * magnetic moment: 0.001 μB/cell

=====

(9)
! PBE ZnTeSe, optimized geometry; values from VASP
&SYSTEM
  ibrav = 0, nat = 6, ntyp = 3
/
ATOMIC_SPECIES
Zn 65.41 Zn.upf
Te 127.60 Te.upf
Se 78.96 Se.upf
CELL_PARAMETERS angstrom
6.109 0.000 0.000
0.000 3.825 0.000
-2.209 0.000 7.744
ATOMIC_POSITIONS crystal
Zn 0.000 0.000 0.000
Zn 0.175 0.500 0.391
Te 0.321 0.500 0.733
Te 0.824 0.000 0.268
Se 0.343 0.000 0.255
Se 0.929 0.500 0.797
! * E above lowest polymorph: 94 meV/atom
! * uncorrected formation energy: -0.25 eV/atom
! * crystal system: monoclinic
! * symmetry: No. 6
! * magnetic moment: 0.000 μB/cell

=====

(10)
! PBE Ta4Re3, optimized geometry; values from VASP
&SYSTEM
  ibrav = 0, nat = 7, ntyp = 2
/
ATOMIC_SPECIES
Ta 180.95 Ta.upf
Re 186.21 Re.upf
CELL_PARAMETERS angstrom
5.180 0.000 0.000
-2.590 4.486 0.000
0.000 0.000 5.191
ATOMIC_POSITIONS crystal
Ta 0.000 0.000 0.248
Ta 0.000 0.000 0.752
Ta 0.333 0.667 0.000
Ta 0.667 0.333 0.000
Re 0.000 0.500 0.500
Re 0.500 0.000 0.500
Re 0.500 0.500 0.500
! * E above lowest polymorph: 43 meV/atom
! * crystal system: hexagonal
! * symmetry: No. 191
! * magnetic moment: 0.000 μB/cell
! * formation energy from the elements: -0.21 eV per atom

=====

(11)
! PBE LaCu3Cl, optimized geometry; values from VASP
&SYSTEM
  ibrav = 0, nat = 5, ntyp = 3
/
ATOMIC_SPECIES
La 138.91 La.upf
Cu 63.55 Cu.upf
Cl 35.45 Cl.upf
CELL_PARAMETERS angstrom
4.713 0.000 0.000
0.000 4.713 0.000
0.000 0.000 4.713
ATOMIC_POSITIONS crystal
La 0.000 0.000 0.000
Cu 0.000 0.500 0.500
Cu 0.500 0.000 0.500
Cu 0.500 0.500 0.000
Cl 0.500 0.500 0.500
! * E above lowest polymorph: 0 meV/atom
! * uncorrected formation energy: 0.48 eV/atom
! * crystal system: cubic
! * symmetry: No. 221
! * magnetic moment: 0.000 μB/cell

=====

(12)
! PBE Pm3PbO7, optimized geometry; values from VASP
&SYSTEM
  ibrav = 0, nat = 22, ntyp = 3
/
ATOMIC_SPECIES
Pm 145.00 Pm.upf
Pb 207.20 Pb.upf
O 16.00 O.upf
CELL_PARAMETERS angstrom
3.859 -5.582 0.000
3.859 5.582 0.000
0.000 0.000 7.834
ATOMIC_POSITIONS crystal
Pm 0.000 0.000 0.000
Pm 0.000 0.000 0.500
Pm 0.032 0.494 0.750
Pm 0.494 0.032 0.250
Pm 0.506 0.968 0.750
Pm 0.968 0.506 0.250
Pb 0.500 0.500 0.000
Pb 0.500 0.500 0.500
O 0.131 0.869 0.250
O 0.131 0.869 0.750
O 0.157 0.407 0.031
O 0.157 0.407 0.469
O 0.407 0.157 0.531
O 0.407 0.157 0.969
O 0.409 0.591 0.750
O 0.591 0.409 0.250
O 0.593 0.843 0.031
O 0.593 0.843 0.469
O 0.843 0.593 0.531
O 0.843 0.593 0.969
O 0.869 0.131 0.250
O 0.869 0.131 0.750
! * uncorrected formation energy: -2.54 eV/atom
! * crystal system: orthorhombic
! * symmetry: No. 63
! * magnetic moment: 2.067 μB/cell